[1]
# Ba3U2ZnO9 PBE optimized geometry
# Total DFT energy (no corrections) in eV per cell: -117.7
# Total moment in Bohr magnetons per cell: 2.000
# Formation energy (no corrections) in eV per atom: -2.897
data_Ba3U2ZnO9
_space_group_name_H-M_alt 'P -3 m 1'
_space_group_IT_number 164
_space_group_name_Hall '-P 3 2"'
_cell_length_a 6.0917
_cell_length_b 6.0917
_cell_length_c 7.5280
_cell_angle_alpha 90.00
_cell_angle_beta 90.00
_cell_angle_gamma 120.00
loop_
_atom_site_label
_atom_site_type_symbol
_atom_site_fract_x
_atom_site_fract_y
_atom_site_fract_z
Ba1 Ba 0.0000 0.0000 0.0000
Ba2 Ba 0.3333 0.6667 0.6494
U1 U 0.3333 0.6667 0.1759
Zn1 Zn 0.0000 0.0000 0.5000
O1 O 0.0000 0.5000 0.0000
O2 O 0.1683 0.3366 0.3327



[2]
# Ba3UZn2O9 PBE optimized geometry
# Total DFT energy (no corrections) in eV per cell: -98.9
# Total moment in Bohr magnetons per cell: 1.594
# Formation energy (no corrections) in eV per atom: -2.308
data_Ba3UZn2O9
_space_group_name_H-M_alt 'P -3 m 1'
_space_group_IT_number 164
_space_group_name_Hall '-P 3 2"'
_cell_length_a 5.8949
_cell_length_b 5.8949
_cell_length_c 7.3783
_cell_angle_alpha 90.00
_cell_angle_beta 90.00
_cell_angle_gamma 120.00
loop_
_atom_site_label
_atom_site_type_symbol
_atom_site_fract_x
_atom_site_fract_y
_atom_site_fract_z
Ba1 Ba 0.0000 0.0000 0.0000
Ba2 Ba 0.3333 0.6667 0.6944
U1 U 0.0000 0.0000 0.5000
Zn1 Zn 0.3333 0.6667 0.1637
O1 O 0.0000 0.5000 0.0000
O2 O 0.1649 0.3298 0.3357



[3]
# Ba3Zr2UO9 PBE optimized geometry
# Total DFT energy (no corrections) in eV per cell: -126.0
# Total moment in Bohr magnetons per cell: 1.995
# Formation energy (no corrections) in eV per atom: -3.151
data_Ba3Zr2UO9
_space_group_name_H-M_alt 'P -3 m 1'
_space_group_IT_number 164
_space_group_name_Hall '-P 3 2"'
_cell_length_a 6.1002
_cell_length_b 6.1002
_cell_length_c 7.4918
_cell_angle_alpha 90.00
_cell_angle_beta 90.00
_cell_angle_gamma 120.00
loop_
_atom_site_label
_atom_site_type_symbol
_atom_site_fract_x
_atom_site_fract_y
_atom_site_fract_z
Ba1 Ba 0.0000 0.0000 0.0000
Ba2 Ba 0.3333 0.6667 0.6730
Zr1 Zr 0.3333 0.6667 0.1605
U1 U 0.0000 0.0000 0.5000
O1 O 0.0000 0.5000 0.0000
O2 O 0.1693 0.3385 0.3280



> The highest total moment belongs to which entry?

Ba3U2ZnO9



> Among the records above, which one has the lowest total moment?

Ba3UZn2O9



Please write out number 2 again, unchanged.
# Ba3UZn2O9 PBE optimized geometry
# Total DFT energy (no corrections) in eV per cell: -98.9
# Total moment in Bohr magnetons per cell: 1.594
# Formation energy (no corrections) in eV per atom: -2.308
data_Ba3UZn2O9
_space_group_name_H-M_alt 'P -3 m 1'
_space_group_IT_number 164
_space_group_name_Hall '-P 3 2"'
_cell_length_a 5.8949
_cell_length_b 5.8949
_cell_length_c 7.3783
_cell_angle_alpha 90.00
_cell_angle_beta 90.00
_cell_angle_gamma 120.00
loop_
_atom_site_label
_atom_site_type_symbol
_atom_site_fract_x
_atom_site_fract_y
_atom_site_fract_z
Ba1 Ba 0.0000 0.0000 0.0000
Ba2 Ba 0.3333 0.6667 0.6944
U1 U 0.0000 0.0000 0.5000
Zn1 Zn 0.3333 0.6667 0.1637
O1 O 0.0000 0.5000 0.0000
O2 O 0.1649 0.3298 0.3357



> Among the records above, which one has the highest total moment?

Ba3U2ZnO9